Record 1
Cd2FeIr | Alexandria via LeMat-Bulk | PBE | relaxed; ρ = 11.7 g/cm³; energy relative to the elements = 0.309 eV/atom
1.0
5.5683 0.0000 0.0000
0.0000 8.1567 0.0000
0.0000 0.0000 2.9499
Cd Fe Ir
4 2 2
direct
0.2500 0.2500 0.0000
0.2500 0.7500 0.0000
0.7500 0.2500 0.0000
0.7500 0.7500 0.0000
0.0000 0.0000 0.5000
0.5000 0.5000 0.5000
0.0000 0.5000 0.5000
0.5000 0.0000 0.5000

Record 2
CdFeIr | Alexandria via LeMat-Bulk | PBE | relaxed; ρ = 12.7 g/cm³; energy relative to the elements = 0.268 eV/atom
1.0
2.8942 0.0000 0.0000
0.0000 4.6975 0.0000
0.0000 0.0000 13.8532
Cd Fe Ir
4 4 4
direct
0.0000 0.0000 0.0000
0.0000 0.5000 0.5000
0.5000 0.0000 0.5000
0.5000 0.5000 0.0000
0.0000 0.0000 0.6720
0.0000 0.5000 0.1720
0.5000 0.0000 0.1720
0.5000 0.5000 0.6720
0.0000 0.0000 0.3200
0.0000 0.5000 0.8200
0.5000 0.0000 0.8200
0.5000 0.5000 0.3200

Record 3
CdFe2Ir | Alexandria via LeMat-Bulk | PBE | relaxed; ρ = 11.7 g/cm³; energy relative to the elements = 0.259 eV/atom
1.0
6.1795 0.0000 0.0000
0.0000 6.1795 0.0000
0.0000 0.0000 6.1795
Cd Fe Ir
4 8 4
direct
0.0000 0.0000 0.0000
0.0000 0.5000 0.5000
0.5000 0.0000 0.5000
0.5000 0.5000 0.0000
0.0000 0.0000 0.5000
0.0000 0.5000 0.0000
0.2500 0.2500 0.7500
0.2500 0.7500 0.2500
0.5000 0.0000 0.0000
0.5000 0.5000 0.5000
0.7500 0.2500 0.2500
0.7500 0.7500 0.7500
0.2500 0.2500 0.2500
0.2500 0.7500 0.7500
0.7500 0.2500 0.7500
0.7500 0.7500 0.2500

Record 4
Cd2FeIr | Alexandria via LeMat-Bulk | PBE | relaxed; ρ = 11.8 g/cm³; energy relative to the elements = 0.328 eV/atom
1.0
2.8868 0.0000 0.0000
-1.4434 2.5000 0.0000
0.0000 0.0000 27.7323
Cd Fe Ir
6 3 3
direct
0.0000 0.0000 0.2489
0.0000 0.0000 0.7511
0.3333 0.6667 0.4177
0.3333 0.6667 0.9156
0.6667 0.3333 0.0844
0.6667 0.3333 0.5823
0.0000 0.0000 0.5000
0.3333 0.6667 0.1667
0.6667 0.3333 0.8333
0.0000 0.0000 0.0000
0.3333 0.6667 0.6667
0.6667 0.3333 0.3333

Record 5
Cd2FeIr | Alexandria via LeMat-Bulk | PBE | relaxed; ρ = 11.8 g/cm³; energy relative to the elements = 0.281 eV/atom
1.0
9.6988 0.0000 0.0000
0.0000 3.0552 0.0000
-1.2504 0.0000 4.5000
Cd Fe Ir
4 2 2
direct
0.2486 0.0000 0.2491
0.2514 0.5000 0.7509
0.7486 0.5000 0.2491
0.7514 0.0000 0.7509
0.0000 0.5000 0.0000
0.5000 0.0000 0.0000
0.0000 0.0000 0.5000
0.5000 0.5000 0.5000

Record 6
CdFeIr | Alexandria via LeMat-Bulk | PBE | relaxed; ρ = 11.3 g/cm³; energy relative to the elements = 0.491 eV/atom
1.0
5.9597 0.0000 0.0000
0.0000 5.9597 0.0000
0.0000 0.0000 5.9597
Cd Fe Ir
4 4 4
direct
0.0000 0.0000 0.0000
0.0000 0.5000 0.5000
0.5000 0.0000 0.5000
0.5000 0.5000 0.0000
0.2500 0.2500 0.2500
0.2500 0.7500 0.7500
0.7500 0.2500 0.7500
0.7500 0.7500 0.2500
0.0000 0.0000 0.5000
0.0000 0.5000 0.0000
0.5000 0.0000 0.0000
0.5000 0.5000 0.5000

Record 7
Cd2FeIr | Alexandria via LeMat-Bulk | PBE | relaxed; ρ = 11.8 g/cm³; energy relative to the elements = 0.267 eV/atom
1.0
3.9721 0.0000 0.0000
0.0000 3.9721 0.0000
0.0000 0.0000 4.2266
Cd Fe Ir
2 1 1
direct
0.0000 0.5000 0.0000
0.5000 0.0000 0.0000
0.0000 0.0000 0.5000
0.5000 0.5000 0.5000

Record 8
Cd2FeIr | Alexandria via LeMat-Bulk | PBE | relaxed; ρ = 11.8 g/cm³; energy relative to the elements = 0.259 eV/atom
1.0
6.4411 0.0000 0.0000
0.0000 6.4411 0.0000
0.0000 0.0000 6.4411
Cd Fe Ir
8 4 4
direct
0.0000 0.0000 0.0000
0.0000 0.5000 0.5000
0.2500 0.2500 0.2500
0.2500 0.7500 0.7500
0.5000 0.0000 0.5000
0.5000 0.5000 0.0000
0.7500 0.2500 0.7500
0.7500 0.7500 0.2500
0.2500 0.2500 0.7500
0.2500 0.7500 0.2500
0.7500 0.2500 0.2500
0.7500 0.7500 0.7500
0.0000 0.0000 0.5000
0.0000 0.5000 0.0000
0.5000 0.0000 0.0000
0.5000 0.5000 0.5000

Record 9
CdFeIr | Alexandria via LeMat-Bulk | PBE | relaxed; ρ = 11.3 g/cm³; energy relative to the elements = 0.420 eV/atom
1.0
4.2834 0.0000 0.0000
0.0000 4.2834 0.0000
0.0000 0.0000 5.7746
Cd Fe Ir
2 2 2
direct
0.2500 0.7500 0.0000
0.7500 0.2500 0.0000
0.2500 0.2500 0.3217
0.7500 0.7500 0.6783
0.2500 0.7500 0.5000
0.7500 0.2500 0.5000

Record 10
CdFe2Ir | Alexandria via LeMat-Bulk | PBE | relaxed; ρ = 11.7 g/cm³; energy relative to the elements = 0.168 eV/atom
1.0
2.7771 0.0000 0.0000
0.0000 3.7856 0.0000
0.0000 0.0000 5.6369
Cd Fe Ir
1 2 1
direct
0.0000 0.0000 0.0000
0.5000 0.5000 0.2849
0.5000 0.5000 0.7151
0.0000 0.0000 0.5000

Record 11
CdFe2Ir | Alexandria via LeMat-Bulk | PBE | relaxed; ρ = 11.9 g/cm³; energy relative to the elements = 0.209 eV/atom
1.0
5.4829 0.0000 0.0000
0.0000 7.6343 0.0000
0.0000 0.0000 2.7686
Cd Fe Ir
2 4 2
direct
0.0000 0.0000 0.0000
0.5000 0.5000 0.0000
0.2500 0.2500 0.5000
0.2500 0.7500 0.5000
0.7500 0.2500 0.5000
0.7500 0.7500 0.5000
0.0000 0.5000 0.0000
0.5000 0.0000 0.0000

Record 12
CdFeIr4 | Alexandria via LeMat-Bulk | PBE | relaxed; ρ = 15.6 g/cm³; energy relative to the elements = 0.375 eV/atom
1.0
0.0000 3.6788 3.6788
3.6788 0.0000 3.6788
3.6788 3.6788 0.0000
Cd Fe Ir
1 1 4
direct
0.0000 0.0000 0.0000
0.7500 0.7500 0.7500
0.3752 0.3752 0.3752
0.3752 0.3752 0.8745
0.3752 0.8745 0.3752
0.8745 0.3752 0.3752

Record 13
Cd2FeIr | Alexandria via LeMat-Bulk | PBE | relaxed; ρ = 11.4 g/cm³; energy relative to the elements = 0.221 eV/atom
1.0
10.0910 0.0000 0.0000
0.0000 3.0161 0.0000
-1.6395 0.0000 4.5086
Cd Fe Ir
4 2 2
direct
0.0000 0.0000 0.0000
0.2202 0.0000 0.6940
0.5000 0.5000 0.0000
0.7202 0.5000 0.6940
0.2572 0.5000 0.2286
0.7572 0.0000 0.2286
0.4592 0.0000 0.4666
0.9592 0.5000 0.4666

Record 14
Cd2FeIr | Alexandria via LeMat-Bulk | PBE | relaxed; ρ = 11.5 g/cm³; energy relative to the elements = 0.226 eV/atom
1.0
3.0511 0.0000 0.0000
0.0000 4.7320 0.0000
0.0000 0.0000 9.4899
Cd Fe Ir
4 2 2
direct
0.0000 0.0000 0.0000
0.0000 0.5000 0.2213
0.5000 0.0000 0.7213
0.5000 0.5000 0.5000
0.0000 0.5000 0.7550
0.5000 0.0000 0.2550
0.0000 0.0000 0.4600
0.5000 0.5000 0.9600

Record 15
CdFeIr | Alexandria via LeMat-Bulk | PBE | relaxed; ρ = 12.7 g/cm³; energy relative to the elements = 0.137 eV/atom
1.0
2.9391 0.0000 0.0000
0.0000 2.9391 0.0000
0.0000 0.0000 10.8935
Cd Fe Ir
2 2 2
direct
0.0000 0.0000 0.0000
0.5000 0.5000 0.5000
0.0000 0.0000 0.6808
0.5000 0.5000 0.1808
0.0000 0.0000 0.3116
0.5000 0.5000 0.8116